A plane-wave DFT calculation with PBE was carried out for a relaxed AcSnIr crystal.

a = 4.339 Å, b = 4.648 Å, c = 4.648 Å
α = 120.00°, β = 90.00°, γ = 90.00°
Element x y z (fractional)
1 Ac 0.667 0.333 0.667
2 Ir 0.167 0.667 0.333
3 Sn 0.167 0.000 0.000

Properties
**ΔE to the lowest computed polymorph**: 108.3 meV/atom
**Total magnetic moment**: 0.000 μB/f.u.
**Symmetry**: P-6m2, No. 187
**Total energy**: -6.248 eV per atom
**Calculated formation energy**: -0.591 eV per atom
**DOS at the Fermi energy**: 2.46 states/eV/cell